A geometry-optimized Sc2Zn5Cu2Ni structure. Source: the Alexandria database, functional PBE-GGA.

Summary:
density of states at the Fermi level: 15.16 states/eV per cell
ΔH_f (0 K): -0.21 eV per atom
SG: P4/mbm, No. 127

Cell: 3.888 8.907 8.907 Å, 90.00 90.00 90.00°
Fractional positions:
Cu (0.000, 0.618, 0.882)
Sc (0.000, 0.321, 0.821)
Cu (0.000, 0.118, 0.618)
Zn (0.500, 0.500, 0.000)
Cu (0.000, 0.882, 0.382)
Zn (0.500, 0.443, 0.302)
Sc (0.000, 0.179, 0.321)
Zn (0.500, 0.557, 0.698)
Sc (0.000, 0.679, 0.179)
Zn (0.500, 0.698, 0.443)
Zn (0.500, 0.943, 0.198)
Zn (0.500, 0.000, 0.500)
Zn (0.500, 0.802, 0.943)
Ni (0.000, 0.000, 0.000)
Zn (0.500, 0.198, 0.057)
Sc (0.000, 0.821, 0.679)
Zn (0.500, 0.057, 0.802)
Ni (0.000, 0.500, 0.500)
Zn (0.500, 0.302, 0.557)
Cu (0.000, 0.382, 0.118)